First-principles (PBE) data for an optimized crystal structure of Sc3Ni8Pd, as listed in Alexandria via LeMat-Bulk.

The formation energy from the elements comes out at -46 kJ per mole of atoms. For the calculated total energy, the calculation gives -228.66 eV for the cell shown.

It has space group R3m (No. 160, hexagonal axes), with a = 4.8443 Å, b = 4.8443 Å, c = 23.7562 Å, α = 90.00°, β = 90.00° and γ = 120.00°. The distinct sites, in fractional coordinates, are Sc at (0.0000, 0.0000, 0.0000), Sc at (0.0000, 0.0000, 0.1307), Sc at (0.0000, 0.0000, 0.6141), Ni at (0.0000, 0.0000, 0.3112), Ni at (0.0000, 0.0000, 0.8107), Ni at (0.9995, 0.4998, 0.0605), Ni at (0.0030, 0.5015, 0.5619) and Pd at (0.0000, 0.0000, 0.4950).